[1]
Density functional theory data (PBE-GGA) for an optimized crystal structure of SmTm2Ge2Pt7.

Summary:
For the energy of formation from the pure elements, the calculation gives -0.94 eV/atom. The value obtained for the total energy is -76.43 eV for the cell shown. The value obtained for the density of states at the Fermi level is 4.421 states/eV/cell.

Unit cell a=4.060 b=4.060 c=14.090 alpha=82.93 beta=82.93 gamma=89.31
Sites, in units of the cell vectors:
Sm  0.000  0.000  0.000
Tm  0.865  0.865  0.360
Tm  0.135  0.135  0.640
Ge  0.612  0.612  0.737
Ge  0.388  0.388  0.263
Pt  0.500  0.500  0.000
Pt  0.353  0.353  0.436
Pt  0.647  0.647  0.564
Pt  0.931  0.431  0.160
Pt  0.431  0.931  0.160
Pt  0.569  0.069  0.840
Pt  0.069  0.569  0.840


[2]
Density functional theory data (PBE-GGA) for an optimized crystal structure of Sm2TmGe4Pt3.

Summary:
For the energy of formation from the pure elements, the calculation gives -0.91 eV/atom. The value obtained for the total energy is -59.58 eV for the cell shown. The value obtained for the density of states at the Fermi level is 3.656 states/eV/cell.

Unit cell a=4.261 b=4.261 c=11.321 alpha=90.00 beta=90.00 gamma=90.00
Sites, in units of the cell vectors:
Sm  0.500  0.000  0.234
Sm  0.000  0.500  0.766
Tm  0.500  0.500  0.500
Ge  0.500  0.500  0.000
Ge  0.000  0.000  0.000
Ge  0.500  0.000  0.661
Ge  0.000  0.500  0.339
Pt  0.000  0.000  0.500
Pt  0.500  0.000  0.879
Pt  0.000  0.500  0.121


[3]
Density functional theory data (PBE-GGA) for an optimized crystal structure of Sm2UGe3Pt4.

Summary:
For the energy of formation from the pure elements, the calculation gives -0.81 eV/atom. The value obtained for the total energy is -66.85 eV for the cell shown. The value obtained for the density of states at the Fermi level is 12.541 states/eV/cell.

Unit cell a=4.314 b=4.314 c=11.108 alpha=90.00 beta=90.00 gamma=90.00
Site moments in Bohr magnetons follow the coordinates.
Sites, in units of the cell vectors:
Sm  0.500  0.000  0.222  0.04
Sm  0.000  0.500  0.778  0.04
U  0.500  0.500  0.500  2.05
Ge  0.000  0.000  0.500  -0.03
Ge  0.500  0.000  0.877  0.00
Ge  0.000  0.500  0.123  0.00
Pt  0.500  0.500  0.000  0.01
Pt  0.000  0.000  0.000  0.01
Pt  0.500  0.000  0.656  -0.02
Pt  0.000  0.500  0.344  -0.02


[4]
Density functional theory data (PBE-GGA) for an optimized crystal structure of SmY2Ge3Pt4.

Summary:
For the energy of formation from the pure elements, the calculation gives -0.91 eV/atom. The value obtained for the total energy is -64.74 eV for the cell shown. The value obtained for the density of states at the Fermi level is 7.450 states/eV/cell.

Unit cell a=4.252 b=4.252 c=11.385 alpha=90.00 beta=90.00 gamma=90.00
Sites, in units of the cell vectors:
Sm  0.500  0.500  0.500
Y  0.500  0.000  0.216
Y  0.000  0.500  0.784
Ge  0.000  0.000  0.500
Ge  0.500  0.000  0.876
Ge  0.000  0.500  0.124
Pt  0.500  0.500  0.000
Pt  0.000  0.000  0.000
Pt  0.500  0.000  0.663
Pt  0.000  0.500  0.337


[5]
Density functional theory data (PBE-GGA) for an optimized crystal structure of SmYGe2Pt5.

Summary:
For the energy of formation from the pure elements, the calculation gives -0.91 eV/atom. The value obtained for the total energy is -58.82 eV for the cell shown. The value obtained for the density of states at the Fermi level is 3.460 states/eV/cell.

Unit cell a=4.288 b=4.288 c=9.066 alpha=90.00 beta=90.00 gamma=90.00
Sites, in units of the cell vectors:
Sm  0.000  0.000  0.500
Y  0.000  0.000  0.000
Ge  0.500  0.500  0.134
Ge  0.500  0.500  0.866
Pt  0.000  0.500  0.271
Pt  0.500  0.000  0.271
Pt  0.000  0.500  0.729
Pt  0.500  0.000  0.729
Pt  0.500  0.500  0.500


[6]
Density functional theory data (PBE-GGA) for an optimized crystal structure of Sm3Zn2GePt9.

Summary:
For the energy of formation from the pure elements, the calculation gives -0.71 eV/atom. The value obtained for the total energy is -86.34 eV for the cell shown. The value obtained for the density of states at the Fermi level is 5.366 states/eV/cell.

Unit cell a=5.629 b=5.629 c=11.611 alpha=90.00 beta=90.00 gamma=120.00
Sites, in units of the cell vectors:
Sm  0.333  0.667  0.757
Sm  0.000  0.000  0.000
Sm  0.667  0.333  0.243
Zn  0.333  0.667  0.170
Zn  0.667  0.333  0.830
Ge  0.000  0.000  0.500
Pt  0.830  0.170  0.657
Pt  0.830  0.659  0.657
Pt  0.341  0.170  0.657
Pt  0.659  0.830  0.343
Pt  0.170  0.341  0.343
Pt  0.170  0.830  0.343
Pt  0.500  0.000  0.000
Pt  0.000  0.500  0.000
Pt  0.500  0.500  0.000


[7]
Density functional theory data (PBE-GGA) for an optimized crystal structure of Sm2ZnGePt6.

Summary:
For the energy of formation from the pure elements, the calculation gives -0.77 eV/atom. The value obtained for the total energy is -59.23 eV for the cell shown. The value obtained for the density of states at the Fermi level is 3.505 states/eV/cell.

Unit cell a=8.351 b=5.609 c=8.351 alpha=70.37 beta=39.25 gamma=90.00
Sites, in units of the cell vectors:
Sm  0.203  0.797  0.407
Sm  0.797  0.203  0.593
Zn  0.500  0.500  0.000
Ge  0.000  0.000  0.000
Pt  0.250  0.750  0.992
Pt  0.750  0.742  0.008
Pt  0.258  0.250  0.500
Pt  0.750  0.250  0.008
Pt  0.250  0.258  0.992
Pt  0.742  0.750  0.500


[8]
Density functional theory data (PBE-GGA) for an optimized crystal structure of Sm2Zn3GePt4.

Summary:
For the energy of formation from the pure elements, the calculation gives -0.79 eV/atom. The value obtained for the total energy is -49.95 eV for the cell shown. The value obtained for the density of states at the Fermi level is 4.865 states/eV/cell.

Unit cell a=4.275 b=4.275 c=10.391 alpha=90.00 beta=90.00 gamma=90.00
Sites, in units of the cell vectors:
Sm  0.500  0.000  0.247
Sm  0.000  0.500  0.753
Zn  0.000  0.000  0.500
Zn  0.500  0.000  0.866
Zn  0.000  0.500  0.134
Ge  0.500  0.500  0.500
Pt  0.500  0.500  0.000
Pt  0.000  0.000  0.000
Pt  0.500  0.000  0.630
Pt  0.000  0.500  0.370


[9]
Density functional theory data (PBE-GGA) for an optimized crystal structure of SmZnGe2Pt5.

Summary:
For the energy of formation from the pure elements, the calculation gives -0.52 eV/atom. The value obtained for the total energy is -50.15 eV for the cell shown. The value obtained for the density of states at the Fermi level is 3.438 states/eV/cell.

Unit cell a=4.238 b=4.238 c=9.070 alpha=90.00 beta=90.00 gamma=90.00
Sites, in units of the cell vectors:
Sm  0.000  0.000  0.500
Zn  0.000  0.000  0.000
Ge  0.500  0.500  0.130
Ge  0.500  0.500  0.870
Pt  0.000  0.500  0.267
Pt  0.500  0.000  0.267
Pt  0.000  0.500  0.733
Pt  0.500  0.000  0.733
Pt  0.500  0.500  0.500


[10]
Density functional theory data (PBE-GGA) for an optimized crystal structure of Sn8GePt2.

Summary:
For the energy of formation from the pure elements, the calculation gives -0.08 eV/atom. The value obtained for the total energy is -49.65 eV for the cell shown. The value obtained for the density of states at the Fermi level is 4.518 states/eV/cell.

Unit cell a=5.159 b=8.929 c=7.403 alpha=112.35 beta=93.79 gamma=83.90
Sites, in units of the cell vectors:
Ge  0.000  0.000  0.000
Sn  0.240  0.566  0.165
Sn  0.760  0.434  0.835
Sn  0.583  0.882  0.143
Sn  0.293  0.213  0.376
Sn  0.251  0.680  0.760
Sn  0.417  0.118  0.857
Sn  0.707  0.787  0.624
Sn  0.749  0.320  0.240
Pt  0.259  0.376  0.764
Pt  0.741  0.624  0.236


[11]
Density functional theory data (PBE-GGA) for an optimized crystal structure of Sn2Ge2Pt.

Summary:
For the energy of formation from the pure elements, the calculation gives -0.07 eV/atom. The value obtained for the total energy is -47.25 eV for the cell shown. The value obtained for the density of states at the Fermi level is 4.618 states/eV/cell.

Unit cell a=6.470 b=6.470 c=5.271 alpha=90.00 beta=90.00 gamma=90.00
Sites, in units of the cell vectors:
Ge  0.362  0.862  0.000
Ge  0.862  0.638  0.000
Ge  0.638  0.138  0.000
Ge  0.138  0.362  0.000
Sn  0.176  0.676  0.500
Sn  0.676  0.824  0.500
Sn  0.824  0.324  0.500
Sn  0.324  0.176  0.500
Pt  0.000  0.000  0.000
Pt  0.500  0.500  0.000


[12]
Density functional theory data (PBE-GGA) for an optimized crystal structure of Sn2GePt.

Summary:
For the energy above the most stable polymorph in this dataset, the calculation gives 0.023 eV per atom. For the energy of formation from the pure elements, the calculation gives 0.04 eV/atom. The value obtained for the total energy is -18.52 eV for the cell shown. The value obtained for the density of states at the Fermi level is 2.456 states/eV/cell.

Unit cell a=4.934 b=4.934 c=4.934 alpha=60.00 beta=60.00 gamma=60.00
Sites, in units of the cell vectors:
Ge  0.000  0.000  0.000
Sn  0.250  0.250  0.250
Sn  0.750  0.750  0.750
Pt  0.500  0.500  0.500